P:
First-principles (PBE-GGA) data for a geometry-optimized La2TbPu structure, as listed in Alexandria.

Computed properties:
* crystal system: cubic
* DOS at the Fermi energy: 14.2 states/eV per cell
* space group: Fm-3m (225)
* total moment: 7.8 μB per cell

abc: 5.743 5.743 5.743
angles: 60.00 60.00 60.00
Sites, in units of the cell vectors:
1 La 0.250 0.250 0.250
2 La 0.750 0.750 0.750
3 Tb 0.000 0.000 0.000
4 Pu 0.500 0.500 0.500

Q:
First-principles (PBE-GGA) data for a geometry-optimized La2TbPu structure, as listed in Alexandria.

Computed properties:
* crystal system: trigonal
* DOS at the Fermi energy: 12.5 states/eV per cell
* space group: R-3m (166)
* total moment: 6.4 μB per cell

abc: 12.678 12.678 12.678
angles: 15.98 15.98 15.98
Sites, in units of the cell vectors:
1 La 0.086 0.086 0.086
2 La 0.914 0.914 0.914
3 Tb 0.500 0.500 0.500
4 Pu 0.000 0.000 0.000

Least stable = Q

P:
First-principles (PBE-GGA) data for a geometry-optimized La2TbPu structure, as listed in Alexandria.

Computed properties:
* crystal system: tetragonal
* DOS at the Fermi energy: 15.5 states/eV per cell
* space group: P4/mmm (123)
* total moment: 6.5 μB per cell

abc: 5.121 5.121 4.982
angles: 90.00 90.00 90.00
Sites, in units of the cell vectors:
1 La 0.000 0.500 0.000
2 La 0.500 0.000 0.000
3 Tb 0.000 0.000 0.500
4 Pu 0.500 0.500 0.500

Q:
First-principles (PBE-GGA) data for a geometry-optimized La2TbPu structure, as listed in Alexandria.

Computed properties:
* crystal system: tetragonal
* DOS at the Fermi energy: 9.5 states/eV per cell
* space group: P4/mmm (123)
* total moment: 6.1 μB per cell

abc: 3.604 3.604 10.210
angles: 90.00 90.00 90.00
Sites, in units of the cell vectors:
1 La 0.000 0.000 0.243
2 La 0.000 0.000 0.757
3 Tb 0.500 0.500 0.500
4 Pu 0.500 0.500 0.000

Least stable = P

P:
First-principles (PBE-GGA) data for a geometry-optimized LaTb2Pu structure, as listed in Alexandria.

Computed properties:
* crystal system: tetragonal
* DOS at the Fermi energy: 10.8 states/eV per cell
* space group: P4/mmm (123)
* total moment: 6.4 μB per cell

abc: 3.557 3.557 10.119
angles: 90.00 90.00 90.00
Sites, in units of the cell vectors:
1 La 0.000 0.000 0.000
2 Tb 0.500 0.500 0.264
3 Tb 0.500 0.500 0.736
4 Pu 0.000 0.000 0.500

Q:
First-principles (PBE-GGA) data for a geometry-optimized LaTb2Pu structure, as listed in Alexandria.

Computed properties:
* crystal system: tetragonal
* DOS at the Fermi energy: 16.1 states/eV per cell
* space group: P4/mmm (123)
* total moment: 6.5 μB per cell

abc: 4.984 4.984 5.121
angles: 90.00 90.00 90.00
Sites, in units of the cell vectors:
1 La 0.000 0.000 0.000
2 Tb 0.000 0.500 0.500
3 Tb 0.500 0.000 0.500
4 Pu 0.500 0.500 0.000

R:
First-principles (PBE-GGA) data for a geometry-optimized LaTb2Pu structure, as listed in Alexandria.

Computed properties:
* crystal system: trigonal
* DOS at the Fermi energy: 11.4 states/eV per cell
* space group: R3m (160)
* total moment: 6.1 μB per cell

abc: 11.813 11.813 11.813
angles: 17.38 17.38 17.38
Sites, in units of the cell vectors:
1 La 0.000 0.000 0.000
2 Tb 0.247 0.247 0.247
3 Tb 0.421 0.421 0.421
4 Pu 0.835 0.835 0.835

Least stable = Q

P:
First-principles (PBE-GGA) data for a geometry-optimized LaTbPu2 structure, as listed in Alexandria.

Computed properties:
* crystal system: tetragonal
* DOS at the Fermi energy: 15.4 states/eV per cell
* space group: P4/mmm (123)
* total moment: 12.4 μB per cell

abc: 4.921 4.921 4.970
angles: 90.00 90.00 90.00
Sites, in units of the cell vectors:
1 La 0.000 0.000 0.000
2 Tb 0.500 0.500 0.000
3 Pu 0.000 0.500 0.500
4 Pu 0.500 0.000 0.500

Q:
First-principles (PBE-GGA) data for a geometry-optimized LaTbPu2 structure, as listed in Alexandria.

Computed properties:
* crystal system: tetragonal
* DOS at the Fermi energy: 14.0 states/eV per cell
* space group: P4/mmm (123)
* total moment: 12.6 μB per cell

abc: 3.465 3.465 10.021
angles: 90.00 90.00 90.00
Sites, in units of the cell vectors:
1 La 0.000 0.000 0.000
2 Tb 0.000 0.000 0.500
3 Pu 0.500 0.500 0.253
4 Pu 0.500 0.500 0.747

Least stable = P

P:
First-principles (PBE-GGA) data for a geometry-optimized La2PuTh structure, as listed in Alexandria.

Computed properties:
* crystal system: trigonal
* DOS at the Fermi energy: 6.4 states/eV per cell
* space group: R3m (160)
* total moment: 0.0 μB per cell

abc: 9.860 9.860 9.860
angles: 21.89 21.89 21.89
Sites, in units of the cell vectors:
1 La 0.000 0.000 0.000
2 La 0.223 0.223 0.223
3 Pu 0.610 0.610 0.610
4 Th 0.447 0.447 0.447

Q:
First-principles (PBE-GGA) data for a geometry-optimized La2PuTh structure, as listed in Alexandria.

Computed properties:
* crystal system: tetragonal
* DOS at the Fermi energy: 12.5 states/eV per cell
* space group: P4/mmm (123)
* total moment: 6.4 μB per cell

abc: 4.982 4.982 5.164
angles: 90.00 90.00 90.00
Sites, in units of the cell vectors:
1 La 0.000 0.500 0.000
2 La 0.500 0.000 0.000
3 Pu 0.000 0.000 0.500
4 Th 0.500 0.500 0.500

Least stable = P

P:
First-principles (PBE-GGA) data for a geometry-optimized LaPuTh2 structure, as listed in Alexandria.

Computed properties:
* crystal system: trigonal
* DOS at the Fermi energy: 12.1 states/eV per cell
* space group: R-3m (166)
* total moment: 5.5 μB per cell

abc: 12.482 12.482 12.482
angles: 16.00 16.00 16.00
Sites, in units of the cell vectors:
1 La 0.000 0.000 0.000
2 Pu 0.500 0.500 0.500
3 Th 0.091 0.091 0.091
4 Th 0.909 0.909 0.909

Q:
First-principles (PBE-GGA) data for a geometry-optimized LaPuTh2 structure, as listed in Alexandria.

Computed properties:
* crystal system: trigonal
* DOS at the Fermi energy: 12.0 states/eV per cell
* space group: R3m (160)
* total moment: 5.5 μB per cell

abc: 11.794 11.794 11.794
angles: 17.33 17.33 17.33
Sites, in units of the cell vectors:
1 La 0.000 0.000 0.000
2 Pu 0.830 0.830 0.830
3 Th 0.244 0.244 0.244
4 Th 0.419 0.419 0.419

R:
First-principles (PBE-GGA) data for a geometry-optimized LaPuTh2 structure, as listed in Alexandria.

Computed properties:
* crystal system: tetragonal
* DOS at the Fermi energy: 10.7 states/eV per cell
* space group: P4/mmm (123)
* total moment: 5.3 μB per cell

abc: 3.562 3.562 9.795
angles: 90.00 90.00 90.00
Sites, in units of the cell vectors:
1 La 0.000 0.000 0.000
2 Pu 0.000 0.000 0.500
3 Th 0.500 0.500 0.272
4 Th 0.500 0.500 0.728

Least stable = P

P:
First-principles (PBE-GGA) data for a geometry-optimized La2PuTl structure, as listed in Alexandria.

Computed properties:
* crystal system: tetragonal
* DOS at the Fermi energy: 11.9 states/eV per cell
* space group: P4/mmm (123)
* total moment: 6.8 μB per cell

abc: 5.110 5.110 4.718
angles: 90.00 90.00 90.00
Sites, in units of the cell vectors:
1 La 0.000 0.500 0.000
2 La 0.500 0.000 0.000
3 Pu 0.000 0.000 0.500
4 Tl 0.500 0.500 0.500

Q:
First-principles (PBE-GGA) data for a geometry-optimized La2PuTl structure, as listed in Alexandria.

Computed properties:
* crystal system: tetragonal
* DOS at the Fermi energy: 8.1 states/eV per cell
* space group: P4/mmm (123)
* total moment: 6.8 μB per cell

abc: 3.810 3.810 8.808
angles: 90.00 90.00 90.00
Sites, in units of the cell vectors:
1 La 0.000 0.000 0.240
2 La 0.000 0.000 0.760
3 Pu 0.500 0.500 0.500
4 Tl 0.500 0.500 0.000

R:
First-principles (PBE-GGA) data for a geometry-optimized La2PuTl structure, as listed in Alexandria.

Computed properties:
* crystal system: cubic
* DOS at the Fermi energy: 17.9 states/eV per cell
* space group: Fm-3m (225)
* total moment: 6.9 μB per cell

abc: 5.612 5.612 5.612
angles: 60.00 60.00 60.00
Sites, in units of the cell vectors:
1 La 0.250 0.250 0.250
2 La 0.750 0.750 0.750
3 Pu 0.000 0.000 0.000
4 Tl 0.500 0.500 0.500

Least stable = R